[1]
Below is an optimized crystal structure of OsPbN2, with properties calculated at the PBE level.

Calculated values
Fermi-level density of states = 0.18 states/eV/atom
final energy = -58.38 eV/cell
formation energy from raw total energies = 0.599 eV per atom
magnetic moment = 0.00 μB/f.u.
space group = I-42d (122)

a = 5.4057 Å, b = 5.4057 Å, c = 5.9998 Å
α = 63.22°, β = 63.22°, γ = 90.00°
Last column: nearest neighbours and their distance in Å.
Fractional positions:
Os (0.2500, 0.7500, 0.5000)  4 N 1.91
Pb (0.7500, 0.2500, 0.5000)  4 N 2.68
N (0.3750, 0.4947, 0.7500)  2 Os 1.91
Pb (0.0000, 0.0000, 0.0000)  4 N 2.68
N (0.5053, 0.1250, 0.2500)  2 Os 1.91
N (0.2447, 0.6250, 0.2500)  2 Os 1.91
Os (0.5000, 0.5000, 0.0000)  4 N 1.91
N (0.8750, 0.7553, 0.7500)  2 Os 1.91

***

[2]
Below is an optimized crystal structure of OsPbN2, with properties calculated at the PBE level.

Calculated values
Fermi-level density of states = 0.56 states/eV/atom
final energy = -27.13 eV/cell
formation energy from raw total energies = 1.115 eV per atom
magnetic moment = 0.00 μB/f.u.
space group = R-3m (166)

a = 6.8824 Å, b = 6.8824 Å, c = 6.8824 Å
α = 28.20°, β = 28.20°, γ = 28.20°
Last column: nearest neighbours and their distance in Å.
Fractional positions:
Os (0.0000, 0.0000, 0.0000)  2 N 1.84
N (0.9073, 0.9073, 0.9073)  1 Os 1.84
Pb (0.5000, 0.5000, 0.5000)  6 N 2.43
N (0.0927, 0.0927, 0.0927)  1 Os 1.84

***

Which value of Fermi-level density of states does entry 1 give? 0.18 states/eV/atom